Compound: AlSi2Tc
Source: Alexandria via LeMat-Bulk
Functional: SCAN
Structure: single point on PBEsol structure

Crystal system: orthorhombic
Energy: -15.6930 eV per atom
Spin magnetization: 0.00 μB per formula unit

Unit cell a=3.105 b=4.064 c=4.253 alpha=90.00 beta=90.00 gamma=90.00
Positions (direct):
Si1 0.000 0.000 0.000
Si2 0.500 0.000 0.500
Al1 0.000 0.500 0.500
Tc1 0.500 0.500 0.000

=====

Compound: LiAuBr2
Source: Alexandria via LeMat-Bulk
Functional: SCAN
Structure: single point on PBEsol structure

Crystal system: orthorhombic
Energy: -28.2060 eV per atom
Spin magnetization: 0.00 μB per formula unit

Unit cell a=3.969 b=5.312 c=5.312 alpha=78.00 beta=68.06 gamma=68.06
Positions (direct):
Br1 0.750 0.250 0.250
Br2 0.250 0.750 0.750
Li1 0.000 0.500 0.500
Au1 0.500 0.000 0.000

=====

Compound: RbPrSe2
Source: Alexandria via LeMat-Bulk
Functional: SCAN
Structure: single point on PBEsol structure

Crystal system: trigonal
Energy: -28.0417 eV per atom
Spin magnetization: 0.00 μB per formula unit

Unit cell a=4.336 b=4.336 c=8.280 alpha=74.82 beta=74.82 gamma=60.00
Positions (direct):
Pr1 0.500 0.500 0.500
Se1 0.235 0.235 0.296
Se2 0.765 0.765 0.704
Rb1 0.000 0.000 0.000

=====

Compound: Er3Al3CoGe2
Source: Alexandria via LeMat-Bulk
Functional: SCAN
Structure: single point on PBEsol structure

Crystal system: hexagonal
Spin magnetization: 0.00 μB per formula unit
Energy of formation from the pure elements: -791 meV per atom

Unit cell a=4.084 b=6.801 c=6.801 alpha=120.00 beta=90.00 gamma=90.00
Positions (direct):
Er1 0.000 0.403 0.403
Er2 0.000 0.000 0.597
Er3 0.000 0.597 0.000
Al1 0.500 0.772 0.772
Al2 0.500 0.228 0.000
Al3 0.500 0.000 0.228
Ge1 0.500 0.333 0.667
Ge2 0.500 0.667 0.333
Co1 0.000 0.000 0.000

=====

Compound: KSc2Pt
Source: Alexandria via LeMat-Bulk
Functional: SCAN
Structure: single point on PBEsol structure

Crystal system: tetragonal
Spin magnetization: 0.00 μB per formula unit
Energy of formation from the pure elements: 97 meV per atom

Unit cell a=3.702 b=4.769 c=4.769 alpha=90.00 beta=90.00 gamma=90.00
Positions (direct):
Sc1 0.000 0.500 0.000
Sc2 0.000 0.000 0.500
K1 0.500 0.500 0.500
Pt1 0.500 0.000 0.000

=====

Compound: CdReAg
Source: Alexandria via LeMat-Bulk
Functional: SCAN
Structure: single point on PBEsol structure

Crystal system: trigonal
Spin magnetization: 0.00 μB per formula unit
Energy of formation from the pure elements: 849 meV per atom

Unit cell a=2.606 b=4.700 c=4.700 alpha=120.00 beta=90.00 gamma=90.00
Positions (direct):
Cd1 0.758 0.333 0.667
Re1 0.335 0.667 0.333
Ag1 0.907 0.000 0.000

=====

Compound: Ru3Rh
Source: Alexandria via LeMat-Bulk
Functional: SCAN
Structure: single point on PBEsol structure

Crystal system: tetragonal
Spin magnetization: 0.00 μB per formula unit
Energy of formation from the pure elements: 85 meV per atom

Unit cell a=2.654 b=2.654 c=7.576 alpha=90.00 beta=90.00 gamma=90.00
Positions (direct):
Rh1 0.000 0.000 0.000
Ru1 0.000 0.000 0.500
Ru2 0.500 0.500 0.252
Ru3 0.500 0.500 0.748

=====

Compound: ReSiOs2
Source: Alexandria via LeMat-Bulk
Functional: SCAN
Structure: single point on PBEsol structure

Crystal system: tetragonal
Energy: -56.4401 eV per atom
Spin magnetization: 0.00 μB per formula unit

Unit cell a=2.834 b=2.834 c=6.676 alpha=90.00 beta=90.00 gamma=90.00
Positions (direct):
Re1 0.500 0.500 0.000
Os1 0.000 0.000 0.277
Os2 0.000 0.000 0.723
Si1 0.500 0.500 0.500

=====

Compound: KBiIr2
Source: Alexandria via LeMat-Bulk
Functional: SCAN
Structure: single point on PBEsol structure

Crystal system: tetragonal
Spin magnetization: 0.00 μB per formula unit
Energy of formation from the pure elements: 1073 meV per atom

Unit cell a=5.921 b=6.262 c=6.262 alpha=77.09 beta=61.79 gamma=61.79
Positions (direct):
Ir1 0.672 0.953 0.453
Ir2 0.078 0.047 0.547
Ir3 0.875 0.453 0.047
Ir4 0.375 0.547 0.953
Bi1 0.750 0.500 0.500
Bi2 0.000 0.000 0.000
K1 0.500 0.000 0.000
K2 0.250 0.500 0.500

=====

Compound: KZnSb2
Source: Alexandria via LeMat-Bulk
Functional: SCAN
Structure: single point on PBEsol structure

Crystal system: orthorhombic
Energy: -24.1231 eV per atom
Spin magnetization: 0.00 μB per formula unit

Unit cell a=3.134 b=5.364 c=6.226 alpha=90.00 beta=90.00 gamma=90.00
Positions (direct):
K1 0.250 0.500 0.754
Sb1 0.750 0.000 0.001
Sb2 0.750 0.500 0.266
Zn1 0.750 0.000 0.479

=====

Compound: YSc2W
Source: Alexandria via LeMat-Bulk
Functional: SCAN
Structure: single point on PBEsol structure

Crystal system: orthorhombic
Spin magnetization: 0.00 μB per formula unit
Energy of formation from the pure elements: 373 meV per atom

Unit cell a=4.088 b=4.846 c=5.362 alpha=116.87 beta=112.41 gamma=90.00
Positions (direct):
Y1 0.000 0.500 0.000
Sc1 0.771 0.771 0.542
Sc2 0.229 0.229 0.458
W1 0.500 0.000 0.000

=====

Compound: CuTcBi2Pd
Source: Alexandria via LeMat-Bulk
Functional: SCAN
Structure: single point on PBEsol structure

Crystal system: tetragonal
Spin magnetization: 3.71 μB per formula unit
Energy of formation from the pure elements: 1041 meV per atom

Unit cell a=4.585 b=5.164 c=5.164 alpha=90.00 beta=90.00 gamma=90.00
Each line ends with the local moment (μB).
Positions (direct):
Tc1 0.500 0.500 0.500  3.57
Bi1 0.000 0.500 0.000  -0.07
Bi2 0.000 0.000 0.500  -0.07
Cu1 0.500 0.000 0.000  0.02
Pd1 0.000 0.000 0.000  0.00

=====

Compound: MnTc2Rh
Source: Alexandria via LeMat-Bulk
Functional: SCAN
Structure: single point on PBEsol structure

Crystal system: tetragonal
Spin magnetization: 1.52 μB per formula unit
Energy of formation from the pure elements: -75 meV per atom

Unit cell a=3.711 b=3.711 c=4.614 alpha=113.71 beta=113.71 gamma=90.00
Each line ends with the local moment (μB).
Positions (direct):
Tc1 0.750 0.250 0.500  -0.53
Tc2 0.250 0.750 0.500  -0.53
Mn1 0.000 0.000 0.000  2.60
Rh1 0.500 0.500 0.000  -0.09

=====

Compound: Sr3Cu3P4O16
Source: Alexandria via LeMat-Bulk
Functional: SCAN
Structure: single point on PBEsol structure

Crystal system: monoclinic
Energy: -12.2509 eV per atom
Spin magnetization: 3.00 μB per formula unit

Unit cell a=4.914 b=9.392 c=15.551 alpha=83.37 beta=80.91 gamma=74.83
Each line ends with the local moment (μB).
Positions (direct):
Sr1 0.843 0.834 0.863  0.00
Sr2 0.539 0.666 0.637  0.00
Sr3 0.290 0.750 0.250  0.00
Sr4 0.461 0.334 0.363  0.00
Sr5 0.157 0.166 0.137  0.00
Sr6 0.710 0.250 0.750  0.00
O1 0.624 0.655 0.470  0.00
O2 0.395 0.356 0.205  0.02
O3 0.304 0.892 0.923  0.06
O4 0.301 0.412 0.688  0.01
O5 0.696 0.108 0.077  0.06
O6 0.118 0.600 0.386  0.07
O7 0.104 0.900 0.114  0.07
O8 0.882 0.400 0.614  0.07
O9 0.119 0.608 0.577  0.06
O10 0.699 0.588 0.312  0.01
O11 0.691 0.907 0.597  0.06
O12 0.344 0.608 0.123  0.05
O13 0.401 0.088 0.812  0.01
O14 0.599 0.912 0.188  0.01
O15 0.896 0.100 0.886  0.07
O16 0.656 0.392 0.877  0.05
O17 0.956 0.144 0.295  0.02
O18 0.881 0.392 0.423  0.06
O19 0.925 0.108 0.623  0.05
O20 0.213 0.885 0.544  0.11
O21 0.250 0.155 0.970  0.00
O22 0.642 0.615 0.956  0.11
O23 0.309 0.093 0.403  0.06
O24 0.806 0.407 0.097  0.06
O25 0.605 0.644 0.795  0.02
O26 0.075 0.892 0.377  0.05
O27 0.044 0.856 0.705  0.02
O28 0.194 0.593 0.903  0.06
O29 0.358 0.385 0.044  0.11
O30 0.787 0.115 0.456  0.11
O31 0.750 0.845 0.030  0.00
O32 0.376 0.345 0.530  0.00
Cu1 0.363 0.767 0.031  0.74
Cu2 0.637 0.233 0.969  0.74
Cu3 0.000 0.500 0.000  0.72
Cu4 0.500 0.000 0.500  0.72
Cu5 0.161 0.733 0.469  0.74
Cu6 0.839 0.267 0.531  0.74
P1 0.477 0.441 0.120  0.00
P2 0.037 0.059 0.380  0.00
P3 0.220 0.064 0.899  0.00
P4 0.780 0.936 0.101  0.00
P5 0.963 0.941 0.620  0.00
P6 0.183 0.436 0.601  0.00
P7 0.523 0.559 0.880  0.00
P8 0.817 0.564 0.399  0.00

=====

Compound: ZrMnSb2Br
Source: Alexandria via LeMat-Bulk
Functional: SCAN
Structure: single point on PBEsol structure

Crystal system: tetragonal
Energy: -28.3271 eV per atom
Spin magnetization: 4.35 μB per formula unit

Unit cell a=4.611 b=5.117 c=5.117 alpha=90.00 beta=90.00 gamma=90.00
Each line ends with the local moment (μB).
Positions (direct):
Mn1 0.000 0.000 0.000  3.43
Sb1 0.000 0.500 0.000  -0.09
Sb2 0.000 0.000 0.500  -0.09
Zr1 0.500 0.500 0.500  0.75
Br1 0.500 0.000 0.000  0.02

=====

Compound: LiTa4
Source: Alexandria via LeMat-Bulk
Functional: SCAN
Structure: single point on PBEsol structure

Crystal system: cubic
Spin magnetization: 0.00 μB per formula unit
Energy of formation from the pure elements: 1152 meV per atom

Unit cell a=4.885 b=4.885 c=4.885 alpha=109.47 beta=109.47 gamma=109.47
Positions (direct):
Ta1 0.000 0.500 0.000
Ta2 0.500 0.500 0.500
Ta3 0.500 0.000 0.000
Ta4 0.000 0.000 0.500
Li1 0.000 0.000 0.000

=====

Compound: Cu2SeN
Source: Alexandria via LeMat-Bulk
Functional: SCAN
Structure: single point on PBEsol structure

Crystal system: cubic
Energy: -13.8755 eV per atom
Spin magnetization: 0.00 μB per formula unit

Unit cell a=4.069 b=4.069 c=4.069 alpha=60.00 beta=60.00 gamma=60.00
Positions (direct):
Cu1 0.250 0.250 0.250
Cu2 0.750 0.750 0.750
N1 0.000 0.000 0.000
Se1 0.500 0.500 0.500

=====

Compound: Al2AgBr
Source: Alexandria via LeMat-Bulk
Functional: SCAN
Structure: single point on PBEsol structure

Crystal system: orthorhombic
Energy: -16.3585 eV per atom
Spin magnetization: 0.00 μB per formula unit

Unit cell a=3.130 b=5.344 c=5.591 alpha=118.55 beta=106.25 gamma=90.00
Positions (direct):
Ag1 0.500 0.000 0.000
Al1 0.757 0.757 0.515
Al2 0.243 0.243 0.485
Br1 0.000 0.500 0.000

=====

Compound: MgInPb2
Source: Alexandria via LeMat-Bulk
Functional: SCAN
Structure: single point on PBEsol structure

Crystal system: monoclinic
Spin magnetization: 0.00 μB per formula unit
Energy of formation from the pure elements: -32 meV per atom

Unit cell a=3.430 b=4.640 c=7.774 alpha=90.00 beta=119.83 gamma=90.00
Positions (direct):
Mg1 0.000 0.500 0.500
Pb1 0.741 0.000 0.744
Pb2 0.259 0.000 0.256
In1 0.500 0.500 0.000

=====

Compound: MgSnP2O7
Source: Alexandria via LeMat-Bulk
Functional: SCAN
Structure: single point on PBEsol structure

Crystal system: monoclinic
Energy: -12.0077 eV per atom
Spin magnetization: 0.00 μB per formula unit

Unit cell a=7.019 b=9.270 c=9.228 alpha=90.00 beta=109.85 gamma=90.00
Positions (direct):
O1 0.506 0.098 0.830
O2 0.861 0.083 0.720
O3 0.861 0.417 0.220
O4 0.730 0.178 0.086
O5 0.917 0.320 0.872
O6 0.354 0.322 0.536
O7 0.646 0.678 0.464
O8 0.083 0.820 0.628
O9 0.494 0.598 0.670
O10 0.101 0.225 0.186
O11 0.506 0.402 0.330
O12 0.510 0.863 0.597
O13 0.899 0.775 0.814
O14 0.917 0.180 0.372
O15 0.270 0.822 0.914
O16 0.139 0.917 0.280
O17 0.139 0.583 0.780
O18 0.646 0.822 0.964
O19 0.101 0.275 0.686
O20 0.354 0.178 0.036
O21 0.083 0.680 0.128
O22 0.490 0.363 0.903
O23 0.899 0.725 0.314
O24 0.510 0.637 0.097
O25 0.730 0.322 0.586
O26 0.490 0.137 0.403
O27 0.270 0.678 0.414
O28 0.494 0.902 0.170
Mg1 0.307 0.446 0.704
Mg2 0.693 0.946 0.796
Mg3 0.307 0.054 0.204
Mg4 0.693 0.554 0.296
P1 0.485 0.794 0.043
P2 0.515 0.206 0.957
P3 0.485 0.706 0.543
P4 0.906 0.244 0.724
P5 0.906 0.256 0.224
P6 0.094 0.756 0.276
P7 0.515 0.294 0.457
P8 0.094 0.744 0.776
Sn1 0.789 0.897 0.443
Sn2 0.789 0.603 0.943
Sn3 0.211 0.397 0.057
Sn4 0.211 0.103 0.557